Here is an optimized crystal structure of ZrAgPd2 from Alexandria. Energies are from PBE-GGA.

a b c (Å): 3.4772 3.4772 5.8241
angles (deg): 90.00 90.00 90.00
With the nearest neighbours (Å) after each atom.
Sites, in units of the cell vectors:
Zr1 0.5000 0.5000 0.0000  8 Pd 2.85, 2 Ag 2.91
Pd1 0.0000 0.0000 0.7519  4 Zr 2.85, 4 Ag 2.86, 2 Pd 2.89-2.93
Pd2 0.0000 0.0000 0.2481  4 Zr 2.85, 4 Ag 2.86, 2 Pd 2.89-2.93
Ag1 0.5000 0.5000 0.5000  8 Pd 2.86, 2 Zr 2.91

Results
* energy relative to the elements: -0.505 eV/atom
* energy above the lowest structure with this stoichiometry: 30 meV per atom
* crystal system: tetragonal
* theoretical density: 9.7 Mg/m³
* energy: -23.81 eV/f.u.
* volume: 17.61 A^3/atom

=====

Here is an optimized crystal structure of ZrAgPd2 from Alexandria. Energies are from PBE-GGA.

a b c (Å): 3.5316 4.4446 4.4446
angles (deg): 90.00 90.00 90.00
With the nearest neighbours (Å) after each atom.
Sites, in units of the cell vectors:
Zr1 0.5000 0.5000 0.5000  8 Pd 2.84, 4 Ag 3.14
Pd1 0.0000 0.0000 0.5000  4 Zr 2.84, 4 Ag 2.84, 4 Pd 3.14
Pd2 0.0000 0.5000 0.0000  4 Zr 2.84, 4 Ag 2.84, 4 Pd 3.14
Ag1 0.5000 0.0000 0.0000  8 Pd 2.84, 4 Zr 3.14

Results
* energy relative to the elements: -0.395 eV/atom
* energy above the lowest structure with this stoichiometry: 140 meV per atom
* crystal system: tetragonal
* theoretical density: 9.8 Mg/m³
* energy: -23.36 eV/f.u.
* volume: 17.44 A^3/atom

=====

Here is an optimized crystal structure of ZrAgPd2 from Alexandria. Energies are from PBE-GGA.

a b c (Å): 4.6281 4.6281 4.6281
angles (deg): 60.00 60.00 60.00
With the nearest neighbours (Å) after each atom.
Sites, in units of the cell vectors:
Zr1 0.0000 0.0000 0.0000  8 Pd 2.83
Pd1 0.2500 0.2500 0.2500  4 Zr 2.83, 4 Ag 2.83
Pd2 0.7500 0.7500 0.7500  4 Zr 2.83, 4 Ag 2.83
Ag1 0.5000 0.5000 0.5000  8 Pd 2.83

Results
* energy relative to the elements: -0.475 eV/atom
* energy above the lowest structure with this stoichiometry: 60 meV per atom
* crystal system: cubic
* theoretical density: 9.8 Mg/m³
* energy: -23.68 eV/f.u.
* volume: 17.52 A^3/atom

=====

Here is an optimized crystal structure of ZrAgPd from Alexandria. Energies are from PBE-GGA.

a b c (Å): 3.4291 3.4315 9.5046
angles (deg): 90.00 90.00 90.00
With the nearest neighbours (Å) after each atom.
Sites, in units of the cell vectors:
Zr1 0.8724 0.2912 0.1511  4 Pd 2.80, 1 Ag 3.03
Zr2 0.3724 0.7912 0.3613  4 Pd 2.80, 1 Ag 3.03
Ag1 0.8725 0.2910 0.8324  4 Ag 2.83, 5 Pd 2.92-3.08, 1 Zr 3.03
Ag2 0.3725 0.7910 0.6799  4 Ag 2.83, 5 Pd 2.92-3.08, 1 Zr 3.03
Pd1 0.8724 0.2911 0.5082  4 Zr 2.80, 5 Ag 2.92-3.08
Pd2 0.3724 0.7911 0.0040  4 Zr 2.80, 5 Ag 2.92-3.08

Results
* energy relative to the elements: -0.368 eV/atom
* energy above the lowest structure with this stoichiometry: 72 meV per atom
* crystal system: tetragonal
* theoretical density: 9.1 Mg/m³
* energy: -17.70 eV/f.u.
* volume: 18.64 A^3/atom

=====

Here is an optimized crystal structure of ZrAgPd from Alexandria. Energies are from PBE-GGA.

a b c (Å): 2.8833 4.6775 4.6775
angles (deg): 120.00 90.00 90.00
With the nearest neighbours (Å) after each atom.
Sites, in units of the cell vectors:
Zr1 0.6941 0.3333 0.6667  2 Zr 2.88, 3 Pd 2.89, 6 Ag 2.98-3.15
Pd1 0.0482 0.0000 0.0000  3 Ag 2.77, 2 Pd 2.88, 3 Zr 2.89
Ag1 0.2577 0.6667 0.3333  3 Pd 2.77, 2 Ag 2.88, 3 Zr 2.98

Results
* energy relative to the elements: -0.313 eV/atom
* energy above the lowest structure with this stoichiometry: 128 meV per atom
* crystal system: trigonal
* theoretical density: 9.3 Mg/m³
* energy: -17.53 eV/f.u.
* volume: 18.21 A^3/atom

=====

Here is an optimized crystal structure of Zr2AgPd2 from Alexandria. Energies are from PBE-GGA.

a b c (Å): 8.1152 8.1152 2.9889
angles (deg): 90.00 90.00 90.00
With the nearest neighbours (Å) after each atom.
Sites, in units of the cell vectors:
Zr1 0.3407 0.8407 0.0000  6 Pd 2.80-2.82, 2 Zr 2.99, 2 Ag 3.05
Zr2 0.8407 0.6593 0.0000  6 Pd 2.80-2.82, 2 Zr 2.99, 2 Ag 3.05
Zr3 0.6593 0.1593 0.0000  6 Pd 2.80-2.82, 2 Zr 2.99, 2 Ag 3.05
Zr4 0.1593 0.3407 0.0000  6 Pd 2.80-2.82, 2 Zr 2.99, 2 Ag 3.05
Pd1 0.1342 0.6342 0.5000  6 Zr 2.80-2.82, 3 Pd 2.99-3.08
Pd2 0.6342 0.8658 0.5000  6 Zr 2.80-2.82, 3 Pd 2.99-3.08
Pd3 0.8658 0.3658 0.5000  6 Zr 2.80-2.82, 3 Pd 2.99-3.08
Pd4 0.3658 0.1342 0.5000  6 Zr 2.80-2.82, 3 Pd 2.99-3.08
Ag1 0.0000 0.0000 0.0000  2 Ag 2.99, 4 Zr 3.05
Ag2 0.5000 0.5000 0.0000  2 Ag 2.99, 4 Zr 3.05

Results
* energy relative to the elements: -0.285 eV/atom
* energy above the lowest structure with this stoichiometry: 203 meV per atom
* crystal system: tetragonal
* theoretical density: 8.5 Mg/m³
* energy: -31.76 eV/f.u.
* volume: 19.68 A^3/atom

=====

Here is an optimized crystal structure of ZrAg2Pd9 from Alexandria. Energies are from PBE-GGA.

a b c (Å): 4.0195 4.0195 11.9995
angles (deg): 90.00 90.00 90.00
With the nearest neighbours (Å) after each atom.
Sites, in units of the cell vectors:
Zr1 0.0000 0.0000 0.0000  12 Pd 2.82-2.84
Ag1 0.0000 0.0000 0.3354  12 Pd 2.82-2.87
Ag2 0.0000 0.0000 0.6646  12 Pd 2.82-2.87
Pd1 0.5000 0.5000 0.0000  8 Pd 2.82, 4 Zr 2.84
Pd2 0.5000 0.5000 0.3322  8 Pd 2.84, 4 Ag 2.84
Pd3 0.5000 0.5000 0.6678  8 Pd 2.84, 4 Ag 2.84
Pd4 0.5000 0.0000 0.1651  2 Zr 2.82, 8 Pd 2.82-2.84, 2 Ag 2.87
Pd5 0.5000 0.0000 0.5000  4 Ag 2.82, 8 Pd 2.84
Pd6 0.5000 0.0000 0.8349  2 Zr 2.82, 8 Pd 2.82-2.84, 2 Ag 2.87
Pd7 0.0000 0.5000 0.1651  8 Pd 2.82-2.84, 2 Zr 2.82, 2 Ag 2.87
Pd8 0.0000 0.5000 0.5000  4 Ag 2.82, 8 Pd 2.84
Pd9 0.0000 0.5000 0.8349  8 Pd 2.82-2.84, 2 Zr 2.82, 2 Ag 2.87

Results
* energy relative to the elements: -0.290 eV/atom
* crystal system: tetragonal
* theoretical density: 10.8 Mg/m³
* energy: -64.46 eV/f.u.
* volume: 16.16 A^3/atom

=====

Here is an optimized crystal structure of ZrAgPd2 from Alexandria. Energies are from PBE-GGA.

a b c (Å): 4.7644 4.9797 5.8076
angles (deg): 90.00 90.00 90.00
With the nearest neighbours (Å) after each atom.
Sites, in units of the cell vectors:
Zr1 0.5000 0.6734 0.5000  8 Pd 2.87-2.90, 4 Ag 2.90-2.98
Zr2 0.0000 0.3266 0.0000  8 Pd 2.87-2.90, 4 Ag 2.90-2.98
Ag1 0.0000 0.3144 0.5000  8 Pd 2.85-2.92, 4 Zr 2.90-2.98
Ag2 0.5000 0.6856 0.0000  8 Pd 2.85-2.92, 4 Zr 2.90-2.98
Pd1 0.5000 0.1772 0.2496  4 Ag 2.85-2.92, 4 Zr 2.87-2.90, 4 Pd 2.90-2.96
Pd2 0.5000 0.1772 0.7504  4 Ag 2.85-2.92, 4 Zr 2.87-2.90, 4 Pd 2.90-2.96
Pd3 0.0000 0.8228 0.7496  4 Ag 2.85-2.92, 4 Zr 2.87-2.90, 4 Pd 2.90-2.96
Pd4 0.0000 0.8228 0.2504  4 Ag 2.85-2.92, 4 Zr 2.87-2.90, 4 Pd 2.90-2.96

Results
* energy relative to the elements: -0.535 eV/atom
* energy above the lowest structure with this stoichiometry: 0 meV per atom
* crystal system: orthorhombic
* theoretical density: 9.9 Mg/m³
* energy: -23.92 eV/f.u.
* volume: 17.22 A^3/atom

=====

- The highest energy belongs to which entry?
  number 5

=====

- Among the records above, which one has the highest energy relative to the elements?
  Zr2AgPd2